No. 1
Material: LiNiO2
Method: DFT, meta-GGA SCAN
State: PBEsol geometry

Cell lengths 2.762, 2.891, 9.484 Å; angles 90.00, 90.00, 118.53 degrees
Atoms (fractional coordinates):
O: 0.026 0.052 0.387
O: 0.318 0.635 0.610
O: 0.974 0.948 0.887
O: 0.682 0.365 0.110
Ni: 0.328 0.656 0.999
Ni: 0.672 0.344 0.499
Li: 0.647 0.295 0.757
Li: 0.353 0.705 0.257

Energy: -0.345 Ha/atom

=====

No. 2
Material: Li3NiO
Method: DFT, meta-GGA SCAN
State: PBEsol geometry

Cell lengths 3.819, 3.819, 3.819 Å; angles 90.00, 90.00, 90.00 degrees
Atoms (fractional coordinates):
Li: 0.000 0.500 0.000
Li: 0.000 0.000 0.500
Li: 0.500 0.000 0.000
O: 0.000 0.000 0.000
Ni: 0.500 0.500 0.500

Energy: -0.244 Ha/atom

=====

No. 3
Material: LiNi2O4
Method: DFT, meta-GGA SCAN
State: PBEsol geometry

Cell lengths 2.804, 4.900, 5.034 Å; angles 109.28, 90.00, 90.00 degrees
Atoms (fractional coordinates):
O: 0.500 0.781 0.292
O: 0.500 0.219 0.708
O: 0.000 0.746 0.705
O: 0.000 0.254 0.295
Ni: 0.000 0.000 0.500
Ni: 0.500 0.500 0.500
Li: 0.500 0.000 0.000

Energy: -0.364 Ha/atom

=====

Copy entry 1 word for word.
Material: LiNiO2
Method: DFT, meta-GGA SCAN
State: PBEsol geometry

Cell lengths 2.762, 2.891, 9.484 Å; angles 90.00, 90.00, 118.53 degrees
Atoms (fractional coordinates):
O: 0.026 0.052 0.387
O: 0.318 0.635 0.610
O: 0.974 0.948 0.887
O: 0.682 0.365 0.110
Ni: 0.328 0.656 0.999
Ni: 0.672 0.344 0.499
Li: 0.647 0.295 0.757
Li: 0.353 0.705 0.257

Energy: -0.345 Ha/atom